Dy3WSe2O6 | PBE with a Hubbard U | relaxed

Computed properties:
total magnetization	0.022	Bohr magnetons per cell
E_tot	-7.019	eV/atom

a b c (Å): 11.7695 6.5016 5.5642
angles (deg): 90.00 99.46 90.00
Space group C2/m (No. 12)
Unique sites:
Dy: 0.0000 0.0000 0.0000 [2 per cell]
Dy: 0.2500 0.2500 0.5000 [4 per cell]
W: 0.0000 0.5000 0.5000 [2 per cell]
Se: 0.2179 0.0000 0.8846 [4 per cell]
O: 0.0541 0.2725 0.3011 [8 per cell]
O: 0.1595 0.5000 0.6624 [4 per cell]